InCoI2O | PBE with a Hubbard U | optimized geometry

Cell and atoms, written as POSCAR:
```
InCoI2O
1.0
6.183 0.000 0.000
0.000 6.183 0.000
0.000 0.000 3.588
O In I Co
1 1 2 1
Direct
0.000 0.000 0.500
0.500 0.500 0.500
0.000 0.500 0.000
0.500 0.000 0.000
0.000 0.000 0.000
```

Calculated values
Magnetic moment in μB per cell: 3.6
E above lowest polymorph in meV per atom: 0.0